Pa2Ga3Rh: optimized geometry, PBE-GGA.

Properties
- space-group type = Pmm2 (25)
- E above lowest polymorph (meV/atom) = 0.0
- ΔH_f (0 K) (eV/atom) = -0.55

Lattice parameters (Å, degrees): 3.4546 4.4796 7.6683 90.00 90.00 90.00
Positions (direct):
1 Pa 0.0000 0.5000 0.0174
2 Ga 0.5000 0.5000 0.6686
3 Rh 0.5000 0.5000 0.3320
4 Pa 0.0000 0.0000 0.4876
5 Ga 0.5000 0.0000 0.8302
6 Ga 0.5000 0.0000 0.1641